Record 1
{"formula": "HoPuTc", "functional": "PBE-GGA", "state": "relaxed", "lattice": [[-1.6909, 1.6909, 5.9820], [1.6909, -1.6909, 5.9820], [1.6909, 1.6909, -5.9820]], "species": ["Ho", "Pu", "Tc"], "frac_coords": [[0.0000, 0.0000, 0.0000], [0.2810, 0.2810, 0.0000], [0.6512, 0.6512, 0.0000]], "space_group": "No. 107", "delta_e_f_ev_per_atom": 0.014, "m_tot_mub_per_atom": 1.7321, "polymorph_energy_kj_per_mol_fu": 0}

Record 2
{"formula": "Sm2Er2TmTh2", "functional": "PBE-GGA", "state": "relaxed", "lattice": [[7.8972, -1.7612, 0.0000], [7.8972, 1.7612, 0.0000], [-1.1872, 0.0000, 8.6788]], "species": ["Sm", "Sm", "Er", "Er", "Tm", "Th", "Th"], "frac_coords": [[0.1669, 0.1669, 0.4526], [0.8331, 0.8331, 0.5474], [0.2965, 0.2965, 0.1722], [0.7035, 0.7035, 0.8278], [0.5000, 0.5000, 0.5000], [0.4121, 0.4121, 0.8637], [0.5879, 0.5879, 0.1363]], "space_group": "No. 12", "delta_e_f_ev_per_atom": 0.387, "m_tot_mub_per_atom": 0.0000}

Record 3
{"formula": "TaP2RhS", "functional": "PBE-GGA", "state": "relaxed", "lattice": [[4.4732, 0.0000, 0.0000], [0.0000, 4.4732, 0.0000], [0.0000, 0.0000, 4.6267]], "species": ["Ta", "P", "P", "Rh", "S"], "frac_coords": [[0.0000, 0.0000, 0.0000], [0.0000, 0.5000, 0.5000], [0.5000, 0.0000, 0.5000], [0.5000, 0.5000, 0.5000], [0.5000, 0.5000, 0.0000]], "space_group": "No. 123", "m_tot_mub_per_atom": 0.0000, "formation_energy_uncorrected_ev_per_atom": 0.8385, "polymorph_energy_kj_per_mol_fu": 89}

Record 4
{"formula": "Sr2CeSnO6", "functional": "PBE-GGA", "state": "relaxed", "lattice": [[5.9221, 0.0000, 0.0000], [0.0000, 6.0305, 0.0000], [-5.8849, 0.0000, 8.4346]], "species": ["Sr", "Sr", "Sr", "Sr", "Ce", "Ce", "Sn", "Sn", "O", "O", "O", "O", "O", "O", "O", "O", "O", "O", "O", "O"], "frac_coords": [[0.2389, 0.0411, 0.2497], [0.2389, 0.4589, 0.7497], [0.7611, 0.5411, 0.2503], [0.7611, 0.9589, 0.7503], [0.5000, 0.0000, 0.0000], [0.5000, 0.5000, 0.5000], [0.0000, 0.0000, 0.5000], [0.0000, 0.5000, 0.0000], [0.1508, 0.2166, 0.9523], [0.1508, 0.2834, 0.4523], [0.2374, 0.7016, 0.9541], [0.2374, 0.7984, 0.4541], [0.3293, 0.0293, 0.7411], [0.3293, 0.4707, 0.2411], [0.6707, 0.5293, 0.7589], [0.6707, 0.9707, 0.2589], [0.7626, 0.2016, 0.5459], [0.7626, 0.2984, 0.0459], [0.8492, 0.7166, 0.5477], [0.8492, 0.7834, 0.0477]], "space_group": "No. 14", "m_tot_mub_per_atom": 0.0000, "formation_energy_uncorrected_ev_per_atom": -2.7199, "polymorph_energy_kj_per_mol_fu": 0}

| no. | E_tot (Ry per atom) |
| --- | --- |
| 1 | -0.716 |
| 2 | -0.369 |
| 3 | -0.440 |
| 4 | -0.516 |